# PBE Li2FeOs, optimized geometry
# energy above the lowest structure with this stoichiometry: 485.8 meV/atom
# formation enthalpy at 0 K: 0.651 eV per atom
# theoretical density: 8.9 g cm⁻³
data_Li2FeOs
_chemical_formula_sum 'Li8 Fe4 Os4'
_cell_length_a 5.793
_cell_length_b 5.793
_cell_length_c 5.793
_cell_angle_alpha 90.00
_cell_angle_beta 90.00
_cell_angle_gamma 90.00
_symmetry_space_group_name_H-M 'F m -3 m'
_symmetry_Int_Tables_number 225
_symmetry_space_group_name_Hall '-F 4 2 3'
loop_
_atom_site_label
_atom_site_fract_x
_atom_site_fract_y
_atom_site_fract_z
Li1 0.250 0.250 0.250
Fe1 0.000 0.000 0.000
Os1 0.000 0.000 0.500